## Pr8Ge3S3N (PBE)

Data for a geometry-optimized Pr8Ge3S3N structure. Values from VASP.

Its energy relative to the elements, uncorrected is -1.26 eV per atom. The uncorrected energy comes out at -91.8 eV/cell. The value obtained for the magnetic moment is 1.41 Bohr magnetons per cell.

The structure in Quantum ESPRESSO input format:
```
&SYSTEM
  ibrav = 0, nat = 15, ntyp = 4
/
ATOMIC_SPECIES
Pr 140.91 Pr.upf
Ge 72.64 Ge.upf
S 32.06 S.upf
N 14.01 N.upf
CELL_PARAMETERS angstrom
4.1752 2.4106 6.8348
-4.1752 2.4106 6.8348
0.0000 -4.8211 6.8348
ATOMIC_POSITIONS angstrom
Pr 0.0000 0.0000 5.0978
Pr -1.9011 -1.0976 11.7872
Pr 0.0000 -2.1952 8.7172
Pr -1.9011 1.0976 8.7172
Pr 1.9011 -1.0976 11.7871
Pr 0.0000 2.1952 11.7871
Pr 1.9011 1.0976 8.7172
Pr 0.0000 0.0000 15.4066
Ge -2.0876 -1.2053 6.8348
Ge -2.0876 1.2053 13.6696
Ge 0.0000 2.4106 6.8348
S -4.1752 0.0000 10.2522
S -2.0876 1.2053 3.4174
S 2.0876 1.2053 3.4174
N 0.0000 0.0000 10.2522
```